Computed, not measured: an optimized crystal structure of VCo3H at the PBE-GGA level of DFT.

Output
As for the symmetry: Pm-3m (221). The value obtained for the energy above the most stable polymorph in this dataset is 0 meV per atom.

Cell lengths 3.5741, 3.5741, 3.5741 Å; angles 90.00, 90.00, 90.00 degrees
Last column: nearest neighbours and their distance in Å.
Sites, in units of the cell vectors:
Co 0.0000 0.5000 0.0000  2 H 1.79
Co 0.0000 0.0000 0.5000  2 H 1.79
Co 0.5000 0.0000 0.0000  2 H 1.79
H 0.0000 0.0000 0.0000  6 Co 1.79
V 0.5000 0.5000 0.5000  12 Co 2.53

Computed, not measured: an optimized crystal structure of Pr6DyIn2 at the PBE-GGA level of DFT.

Output
The formation energy comes out at -83 meV/atom. As for the symmetry: C2/m (12). The value obtained for the energy above the most stable polymorph in this dataset is 114 meV per atom.

Cell lengths 3.5016, 10.0265, 10.0265 Å; angles 56.93, 79.88, 79.88 degrees
Last column: nearest neighbours and their distance in Å.
Sites, in units of the cell vectors:
Pr 0.6708 0.0158 0.6440  6 Pr 3.27-3.55, 3 In 3.49-3.53
Pr 0.3292 0.9842 0.3560  6 Pr 3.27-3.55, 3 In 3.49-3.53
Pr 0.5000 0.6637 0.3362  5 Pr 3.13-3.50
Pr 0.5000 0.3362 0.6637  5 Pr 3.13-3.50
Pr 0.6708 0.6440 0.0158  6 Pr 3.27-3.55, 3 In 3.49-3.53
Pr 0.3292 0.3560 0.9842  6 Pr 3.27-3.55, 3 In 3.49-3.53
In 0.1548 0.3463 0.3463  10 Pr 3.49-3.54, 2 In 3.50
In 0.8452 0.6537 0.6537  10 Pr 3.49-3.54, 2 In 3.50
Dy 0.0000 0.0000 0.0000  2 Dy 3.50, 12 Pr 3.66-3.85

Computed, not measured: an optimized crystal structure of HgPtS2 at the PBE-GGA level of DFT.

Output
As for the symmetry: R3m (160). The energy relative to the elements, uncorrected comes out at 32 meV per atom.

Cell lengths 7.4565, 7.4565, 7.4565 Å; angles 29.89, 29.89, 29.89 degrees
Last column: nearest neighbours and their distance in Å.
Sites, in units of the cell vectors:
Hg 0.5079 0.5079 0.5079  4 S 2.60-2.61
Pt 0.0022 0.0022 0.0022  4 S 2.32-2.37
S 0.6301 0.6301 0.6301  3 Pt 2.37, 1 Hg 2.61
S 0.1108 0.1108 0.1108  1 Pt 2.32

Computed, not measured: an optimized crystal structure of K3Ac2NdS6 at the PBE-GGA level of DFT.

Output
As for the symmetry: C2/m (12). The energy relative to the elements, uncorrected comes out at -1874 meV per atom.

Cell lengths 4.3557, 8.9636, 9.9620 Å; angles 105.09, 102.63, 90.00 degrees
Last column: nearest neighbours and their distance in Å.
Sites, in units of the cell vectors:
Ac 0.8349 0.6709 0.6698  6 S 2.99-3.02
Ac 0.1651 0.3291 0.3302  6 S 2.99-3.02
K 0.8343 0.1670 0.6686  6 S 3.25-3.40
K 0.1657 0.8330 0.3314  6 S 3.25-3.40
K 0.5000 0.5000 0.0000  6 S 3.28-3.36
S 0.3463 0.9046 0.6927  1 Nd 2.88, 2 Ac 2.99
S 0.9940 0.7819 0.9881  2 Nd 2.91, 1 Ac 2.99, 1 K 3.25
S 0.0060 0.2181 0.0119  2 Nd 2.91, 1 Ac 2.99, 1 K 3.25
S 0.6537 0.0954 0.3073  1 Nd 2.88, 2 Ac 2.99
S 0.6740 0.5637 0.3481  3 Ac 3.00-3.02, 3 K 3.28-3.29
S 0.3260 0.4363 0.6519  3 Ac 3.00-3.02, 3 K 3.28-3.29
Nd 0.5000 0.0000 0.0000  6 S 2.88-2.91